1.
Al2CrFeAu: relaxed, PBE-GGA. Values from VASP.

DOS at the Fermi energy ... 0.84 states/eV per atom
Raw total energy ... -25.1 eV per cell
V ... 17.69 A^3/atom

Cell and atoms, written as Quantum ESPRESSO input:
```
&SYSTEM
  ibrav = 0, nat = 5, ntyp = 4
/
ATOMIC_SPECIES
Cr 52.00 Cr.upf
Au 196.97 Au.upf
Fe 55.84 Fe.upf
Al 26.98 Al.upf
CELL_PARAMETERS angstrom
-3.565 -2.892 0.772
1.573 -2.652 -2.674
2.396 -2.038 3.432
ATOMIC_POSITIONS angstrom
Cr 0.000 0.000 0.000
Au 0.202 -3.791 0.765
Fe 0.786 -1.326 -1.337
Al 1.198 -1.019 1.716
Al -1.783 -1.446 0.386
```

=====

2.
Al2CrHAu: relaxed, PBE-GGA. Values from VASP.

DOS at the Fermi energy ... 0.41 states/eV per atom
Raw total energy ... -24.2 eV per cell
V ... 12.24 A^3/atom

Cell and atoms, written as Quantum ESPRESSO input:
```
&SYSTEM
  ibrav = 0, nat = 5, ntyp = 4
/
ATOMIC_SPECIES
Cr 52.00 Cr.upf
Au 196.97 Au.upf
Al 26.98 Al.upf
H 1.01 H.upf
CELL_PARAMETERS angstrom
4.114 0.000 0.000
0.000 4.114 0.000
0.000 0.000 3.618
ATOMIC_POSITIONS angstrom
Cr 0.000 0.000 1.809
Au 2.057 2.057 1.809
Al 0.000 2.057 0.000
Al 2.057 0.000 0.000
H 0.000 0.000 0.000
```

=====

3.
HfAl2CrAu: relaxed, PBE-GGA. Values from VASP.

DOS at the Fermi energy ... 0.76 states/eV per atom
Raw total energy ... -28.4 eV per cell
V ... 19.74 A^3/atom

Cell and atoms, written as Quantum ESPRESSO input:
```
&SYSTEM
  ibrav = 0, nat = 5, ntyp = 4
/
ATOMIC_SPECIES
Hf 178.49 Hf.upf
Au 196.97 Au.upf
Al 26.98 Al.upf
Cr 52.00 Cr.upf
CELL_PARAMETERS angstrom
-4.566 0.799 0.085
-0.236 -1.799 4.219
0.767 4.191 1.830
ATOMIC_POSITIONS angstrom
Hf -0.118 -0.899 2.109
Au -2.018 1.595 3.067
Al 0.384 2.095 0.915
Al -2.283 0.399 0.043
Cr 0.000 0.000 0.000
```

=====

4.
AlCrIrAu2: relaxed, PBE-GGA. Values from VASP.

DOS at the Fermi energy ... 0.89 states/eV per atom
V ... 21.58 A^3/atom
Offset from the most stable computed form ... 274.4 meV per atom

Cell and atoms, written as Quantum ESPRESSO input:
```
&SYSTEM
  ibrav = 0, nat = 5, ntyp = 4
/
ATOMIC_SPECIES
Cr 52.00 Cr.upf
Ir 192.22 Ir.upf
Au 196.97 Au.upf
Al 26.98 Al.upf
CELL_PARAMETERS angstrom
-0.488 -4.626 1.599
4.438 -0.422 0.135
0.012 1.605 4.650
ATOMIC_POSITIONS angstrom
Cr 0.000 0.000 0.000
Ir 2.219 -0.211 0.067
Au 0.006 0.803 2.325
Au -0.244 -2.313 0.799
Al 1.981 -1.721 3.191
```

=====

5.
AlCrIrAu2: relaxed, PBE-GGA. Values from VASP.

DOS at the Fermi energy ... 0.58 states/eV per atom
V ... 23.73 A^3/atom
Offset from the most stable computed form ... 0.0 meV per atom

Cell and atoms, written as Quantum ESPRESSO input:
```
&SYSTEM
  ibrav = 0, nat = 5, ntyp = 4
/
ATOMIC_SPECIES
Cr 52.00 Cr.upf
Ir 192.22 Ir.upf
Au 196.97 Au.upf
Al 26.98 Al.upf
CELL_PARAMETERS angstrom
-2.875 -2.249 -3.584
3.626 -2.292 -1.470
-1.082 -3.798 3.252
ATOMIC_POSITIONS angstrom
Cr -0.166 -4.170 -0.901
Ir 0.000 0.000 0.000
Au -0.541 -1.899 1.626
Au -1.438 -1.125 -1.792
Al 1.813 -1.146 -0.735
```

=====

6.
LaAl2CrAu: relaxed, PBE-GGA. Values from VASP.

DOS at the Fermi energy ... 0.50 states/eV per atom
Raw total energy ... -24.6 eV per cell
V ... 24.26 A^3/atom

Cell and atoms, written as Quantum ESPRESSO input:
```
&SYSTEM
  ibrav = 0, nat = 5, ntyp = 4
/
ATOMIC_SPECIES
Cr 52.00 Cr.upf
Au 196.97 Au.upf
Al 26.98 Al.upf
La 138.91 La.upf
CELL_PARAMETERS angstrom
4.845 0.000 0.000
0.000 5.166 0.000
0.000 0.000 4.845
ATOMIC_POSITIONS angstrom
Cr 0.000 2.583 0.000
Au 0.000 0.000 0.000
Al 0.000 0.000 2.423
Al 2.423 0.000 0.000
La 2.423 2.583 2.423
```